Entry 1:
{
  "formula": "Cu3Br",
  "functional": "PBE",
  "state": "optimized geometry",
  "sg": "No. 194",
  "formation_energy_uncorrected_mev_per_atom": 308.3,
  "polymorph_energy_mev_per_atom": 206,
  "density_g_cm3": 6.6,
  "dft_energy_ev_per_atom": -3.1820,
  "lattice_angstrom": [[1.7202, 4.0064, 4.3729], [-2.2378, -5.5319, 1.5885], [3.7932, -1.5541, -0.0684]],
  "species": ["Cu", "Cu", "Cu", "Cu", "Cu", "Cu", "Br", "Br"],
  "fractional_positions": [[0.8653, 0.7306, 0.2500], [0.2694, 0.1347, 0.2500], [0.8653, 0.1347, 0.2500], [0.1347, 0.2694, 0.7500], [0.7306, 0.8653, 0.7500], [0.1347, 0.8653, 0.7500], [0.3333, 0.6667, 0.2500], [0.6667, 0.3333, 0.7500]]
}

---

Entry 2:
{
  "formula": "CeSm2HoTm4",
  "functional": "PBE",
  "state": "optimized geometry",
  "sg": "No. 10",
  "e_form_mev_per_atom": 43,
  "density_g_cm3": 8.6,
  "dft_energy_ev_per_atom": -4.6869,
  "lattice_angstrom": [[3.5314, 0.0000, 0.0000], [0.0000, 6.1165, 0.0807], [0.0000, 1.9027, 11.4927]],
  "species": ["Ce", "Sm", "Sm", "Ho", "Tm", "Tm", "Tm", "Tm"],
  "fractional_positions": [[0.0000, 0.5000, 0.5000], [0.0000, 0.0000, 0.0000], [0.5000, 0.0000, 0.5000], [0.5000, 0.5000, 0.0000], [0.0000, 0.7467, 0.7502], [0.0000, 0.2533, 0.2498], [0.5000, 0.7459, 0.2514], [0.5000, 0.2541, 0.7486]]
}

---

Entry 3:
{
  "formula": "LiMnAl2Cu",
  "functional": "PBE",
  "state": "optimized geometry",
  "sg": "No. 123",
  "e_form_mev_per_atom": 364,
  "density_g_cm3": 3.3,
  "dft_energy_ev_per_atom": -4.1693,
  "lattice_angstrom": [[4.5081, 0.0000, 0.0000], [0.0000, 4.4063, 0.0000], [0.0000, 0.0000, 4.5081]],
  "species": ["Mn", "Al", "Al", "Cu", "Li"],
  "fractional_positions": [[0.5000, 0.5000, 0.5000], [0.0000, 0.0000, 0.5000], [0.5000, 0.0000, 0.0000], [0.0000, 0.0000, 0.0000], [0.0000, 0.5000, 0.0000]]
}

---

Entry 4:
{
  "formula": "CaS5Br",
  "functional": "PBE",
  "state": "optimized geometry",
  "sg": "No. 5",
  "formation_energy_uncorrected_mev_per_atom": -540.4,
  "density_g_cm3": 2.0,
  "dft_energy_ev_per_atom": -4.0134,
  "lattice_angstrom": [[5.8602, -1.4703, -1.7479], [-2.6894, 3.5076, -0.9449], [2.4911, 4.5313, 10.3456]],
  "species": ["Ca", "S", "S", "S", "S", "S", "Br"],
  "fractional_positions": [[0.8209, 0.3209, 0.6418], [0.9345, 0.1111, 0.1728], [0.0305, 0.5305, 0.0611], [0.2383, 0.0617, 0.1728], [0.3862, 0.6061, 0.7602], [0.3740, 0.1541, 0.7602], [0.7463, 0.7463, 0.4926]]
}